First-principles (PBE with a Hubbard U) data for a geometry-optimized Cd2CuMoO structure, as listed in Alexandria via LeMat-Bulk.

abc: 4.861 4.949 4.861
angles: 90.00 90.00 90.00
Sites, in units of the cell vectors:
Cd: 0.500 0.000 0.000
Cu: 0.000 0.000 0.000
Mo: 0.000 0.500 0.000
O: 0.500 0.500 0.500
Cd: 0.000 0.000 0.500

## Properties
DFT total energy: -13.29 eV per formula unit
Density of states at the Fermi level: 0.532 states/eV per atom
Magnetization: 3.30 μB/f.u.